# TmScTl3

A geometry-optimized TmScTl3 structure (PBE, the Alexandria database).

It has space group P2_1/c (No. 14), with a = 8.022 Å, b = 6.408 Å, c = 11.022 Å, α = 90.00°, β = 115.08° and γ = 90.00°. The asymmetric unit holds Tm at (0.111, 0.108, 0.161), Sc at (0.315, 0.656, 0.979), Tl at (0.086, 0.615, 0.146), Tl at (0.299, 0.134, 0.950) and Tl at (0.497, 0.115, 0.733).

As for the energy relative to the lowest polymorph listed for this composition: 0.0 kJ/mol of atoms. The value obtained for the mass density is 10.7 g cm⁻³. The formation energy comes out at -0.187 eV/atom.